(1)
## LiLuZnCu (GGA-PBE)

Data for a relaxed structure of LiLuZnCu.

**Total magnetic moment**: 0.00 μB/atom
**Raw total energy**: -3.11 eV per atom
**Volume**: 66.4 Å³/cell
**Energy of formation from the pure elements**: -0.155 eV/atom
**Symmetry**: F-43m

Cell lengths 4.545, 4.545, 4.545 Å; angles 60.00, 60.00, 60.00 degrees
Fractional positions:
Li (0.000, 0.000, 0.000)
Lu (0.250, 0.250, 0.250)
Zn (0.750, 0.750, 0.750)
Cu (0.500, 0.500, 0.500)

***

(2)
## Nd3Ag2Pd3 (GGA-PBE)

Data for a relaxed structure of Nd3Ag2Pd3.

**Total magnetic moment**: 0.00 μB/atom
**Raw total energy**: -4.98 eV per atom
**Volume**: 378.3 Å³/cell
**Energy of formation from the pure elements**: -0.531 eV/atom
**Symmetry**: P6_3/mcm

Cell lengths 8.688, 8.688, 5.787 Å; angles 90.00, 90.00, 120.00 degrees
Fractional positions:
Nd (0.000, 0.287, 0.250)
Nd (0.000, 0.713, 0.750)
Nd (0.287, 0.000, 0.250)
Nd (0.287, 0.287, 0.750)
Nd (0.713, 0.000, 0.750)
Nd (0.713, 0.713, 0.250)
Ag (0.333, 0.667, 0.000)
Ag (0.333, 0.667, 0.500)
Ag (0.667, 0.333, 0.000)
Ag (0.667, 0.333, 0.500)
Pd (0.000, 0.379, 0.750)
Pd (0.000, 0.621, 0.250)
Pd (0.379, 0.000, 0.750)
Pd (0.379, 0.379, 0.250)
Pd (0.621, 0.000, 0.250)
Pd (0.621, 0.621, 0.750)

***

(3)
## CaCoC3 (GGA-PBE)

Data for a relaxed structure of CaCoC3.

**Total magnetic moment**: 0.21 μB/atom
**Raw total energy**: -5.86 eV per atom
**Volume**: 57.1 Å³/cell
**Polymorph energy (0 for the lowest one)**: 0.0000 eV/atom
**Energy of formation from the pure elements**: 1.492 eV/atom
**Symmetry**: Pm-3m

Cell lengths 3.850, 3.850, 3.850 Å; angles 90.00, 90.00, 90.00 degrees
Fractional positions:
Ca (0.000, 0.000, 0.000)
Co (0.500, 0.500, 0.500)
C (0.000, 0.500, 0.500)
C (0.500, 0.000, 0.500)
C (0.500, 0.500, 0.000)